Material: Ta2SiW
Method: DFT, PBE
State: optimized geometry

a = 7.2458 Å, b = 7.2458 Å, c = 5.3934 Å
α = 90.00°, β = 90.00°, γ = 90.00°
Space group I-42d (No. 122)
Symmetry-distinct sites (fractional):
Ta: 0.2290 0.2500 0.1250 [8 per cell]
Si: 0.0000 0.0000 0.0000 [4 per cell]
W: 0.0000 0.0000 0.5000 [4 per cell]

Properties
energy	-158.3	eV for the cell shown
uncorrected formation energy	0.624	eV per atom
density of states at the Fermi level	3.10	states/eV/f.u.